# 1
As2RuAuSe after structural relaxation, computed with PBE.

Computed properties:
formation energy (no corrections): 0.571 eV/atom
polymorph energy (0 for the lowest one): 0 meV/atom
calculated volume: 22.8 A^3/atom
SG: No. 123

The structure in POSCAR format:
```
As2RuAuSe
1.0
4.626 0.000 0.000
0.000 4.626 0.000
0.000 0.000 5.318
As Au Ru Se
2 1 1 1
Direct
0.000 0.500 0.000
0.500 0.000 0.000
0.500 0.500 0.500
0.000 0.000 0.000
0.000 0.000 0.500
```

# 2
AsRuAuSe2 after structural relaxation, computed with PBE.

Computed properties:
formation energy (no corrections): 0.616 eV/atom
polymorph energy (0 for the lowest one): 0 meV/atom
calculated volume: 22.7 A^3/atom
SG: No. 123

The structure in POSCAR format:
```
AsRuAuSe2
1.0
-2.919 3.898 -0.783
-1.491 -0.173 4.699
3.486 2.853 1.211
Au Se As Ru
1 2 1 1
Direct
0.500 0.500 0.500
0.000 0.500 0.000
0.500 0.000 0.000
0.000 0.000 0.500
0.000 0.000 0.000
```

# 3
TlAs2RuAu after structural relaxation, computed with PBE.

Computed properties:
energy relative to the elements: 0.24 eV per atom
calculated volume: 24.0 A^3/atom
SG: No. 123

The structure in POSCAR format:
```
TlAs2RuAu
1.0
-2.566 -3.393 2.003
4.552 -2.606 1.415
0.077 2.347 4.074
As Tl Au Ru
2 1 1 1
Direct
0.500 0.000 0.000
0.000 0.000 0.500
0.500 0.500 0.500
0.000 0.500 0.000
0.000 0.000 0.000
```

- Which value of calculated volume does entry 3 give?
  24.0 A^3/atom